1.
A plane-wave DFT calculation with PBE-GGA was carried out for a relaxed structure of La2TbY8.

Values from the calculation:
As for the space group: C2/m, No. 12. The value obtained for the size of the total moment is 0.0 Bohr magnetons per cell. The calculation puts the formation enthalpy at 0 K at 159 meV per atom.

```
11
Lattice="-3.5785 -4.2236 2.1850 3.3120 -7.2475 4.4088 1.1703 0.3896 9.1666" Properties=species:S:1:pos:R:3 pbc="T T T"
La 1.4662 -2.0554 4.9251
La 3.0161 -4.8026 8.6503
Tb -1.7893 -2.1118 1.0925
Y -2.3942 -4.1518 4.3400
Y -1.0033 -5.5847 10.3451
Y 0.3267 -4.3155 2.5104
Y 1.3202 -7.6856 8.4049
Y -0.4164 -3.3960 7.3556
Y -0.5933 -7.1556 4.0834
Y 1.9071 -5.4969 5.4154
Y 3.2980 -6.9297 11.4205
```

2.
A plane-wave DFT calculation with PBE-GGA was carried out for a relaxed structure of LaTb4Y7.

Values from the calculation:
As for the space group: C2/m, No. 12. The value obtained for the offset from the most stable computed form is 192 meV per atom. The value obtained for the size of the total moment is 0.0 Bohr magnetons per cell. The calculation puts the formation enthalpy at 0 K at 274 meV per atom.

```
12
Lattice="-2.5681 1.5726 5.0895 7.6705 -3.0409 8.2457 1.4109 6.2212 2.2253" Properties=species:S:1:pos:R:3 pbc="T T T"
La 0.0000 0.0000 0.0000
Tb 0.8260 3.4885 6.2102
Tb 5.6873 1.2645 9.3504
Tb 4.4863 4.1984 11.2734
Tb 2.0270 0.5545 4.2871
Y 5.7438 1.5349 12.7310
Y 0.7695 3.2181 2.8296
Y 5.2737 -0.5563 6.2686
Y 1.2396 5.3093 9.2919
Y 4.0203 3.8003 7.7256
Y -1.2841 0.7863 2.5448
Y 2.4931 0.9527 7.8349
```

3.
A plane-wave DFT calculation with PBE-GGA was carried out for a relaxed structure of LaTb7Y12.

Values from the calculation:
As for the space group: Im-3m, No. 229. The value obtained for the offset from the most stable computed form is 574 meV per atom. The value obtained for the size of the total moment is 0.0 Bohr magnetons per cell. The calculation puts the formation enthalpy at 0 K at 670 meV per atom.

```
20
Lattice="9.2526 0.0000 -3.2713 -4.6263 8.0130 -3.2713 0.0000 0.0000 9.8138" Properties=species:S:1:pos:R:3 pbc="T T T"
La 0.0000 0.0000 0.0000
Tb 2.3131 4.0065 -3.2713
Tb -2.3131 4.0065 3.2713
Tb 4.6263 0.0000 3.2713
Tb 2.3131 4.0065 1.6356
Tb 0.0000 0.0000 4.9069
Tb 4.6263 0.0000 -1.6356
Tb -2.3131 4.0065 -1.6356
Y 1.0883 5.9702 3.2713
Y 5.8056 5.9702 -3.2069
Y 3.5380 2.0427 -0.0001
Y -1.1793 2.0427 6.4781
Y 6.8939 0.0001 0.0644
Y 4.6263 3.9276 3.2712
Y -2.2676 8.0129 3.2069
Y 0.0000 4.0854 0.0001
Y 3.4469 5.9703 -0.0644
Y 1.1794 2.0427 3.3357
Y 5.7145 2.0427 6.5425
Y -1.0882 5.9703 -3.2712
```

4.
A plane-wave DFT calculation with PBE-GGA was carried out for a relaxed structure of La2Tb3Y8.

Values from the calculation:
As for the space group: Cmmm, No. 65. The value obtained for the size of the total moment is 0.0 Bohr magnetons per cell. The calculation puts the formation enthalpy at 0 K at 246 meV per atom.

```
13
Lattice="-5.0650 0.2032 2.3614 0.7958 -7.2660 2.3322 3.9256 6.9951 7.8216" Properties=species:S:1:pos:R:3 pbc="T T T"
La -0.4539 1.7185 5.5055
La 0.1103 -1.7862 7.0097
Tb -2.5325 0.1016 1.1807
Tb 0.2296 -2.0923 0.6725
Tb 4.4918 1.8214 9.4814
Y -3.2748 -2.3498 6.4183
Y 2.9312 2.2821 6.0970
Y -3.9699 1.0552 4.6368
Y 3.6262 -1.1229 7.8785
Y 1.0526 1.2152 8.7800
Y 0.7140 4.3046 7.7879
Y -1.0576 -4.3723 4.7273
Y -1.3962 -1.2829 3.7352
```

5.
A plane-wave DFT calculation with PBE-GGA was carried out for a relaxed structure of La6TbY2.

Values from the calculation:
As for the space group: P-31m, No. 162. The value obtained for the offset from the most stable computed form is 303 meV per atom. The value obtained for the size of the total moment is 0.1 Bohr magnetons per cell. The calculation puts the formation enthalpy at 0 K at 415 meV per atom.

```
9
Lattice="9.5237 0.0000 0.0000 0.0000 6.5509 0.0000 0.0000 -3.2754 5.6732" Properties=species:S:1:pos:R:3 pbc="T T T"
La 1.9315 -1.1915 2.0637
La 1.9315 2.0840 3.6095
La 7.5922 -2.0840 3.6095
La 7.5922 4.1679 0.0000
La 7.5922 1.1915 2.0637
La 1.9315 2.3829 0.0000
Tb 0.0000 0.0000 0.0000
Y 4.7619 3.2754 1.8911
Y 4.7619 0.0000 3.7821
```

6.
A plane-wave DFT calculation with PBE-GGA was carried out for a relaxed structure of La4Tb4Y3.

Values from the calculation:
As for the space group: Immm, No. 71. The value obtained for the offset from the most stable computed form is 65 meV per atom. The value obtained for the size of the total moment is 0.0 Bohr magnetons per cell. The calculation puts the formation enthalpy at 0 K at 120 meV per atom.

```
11
Lattice="3.6007 0.0000 -0.6632 -0.8606 8.3002 -4.6723 0.3555 1.3045 12.0399" Properties=species:S:1:pos:R:3 pbc="T T T"
La 2.0175 4.3328 0.8500
La 1.3693 2.4630 7.4357
La 1.0780 5.2719 5.8545
La 1.7263 7.1417 -0.7312
Tb 2.6108 2.5617 4.0699
Tb 0.4848 7.0430 2.6345
Tb 1.0997 6.7572 -4.1353
Tb 1.6404 1.5431 -1.2002
Y 2.7359 8.4682 4.7516
Y 0.3597 1.1365 1.9528
Y -0.4303 4.1501 -2.3361
```

7.
A plane-wave DFT calculation with PBE-GGA was carried out for a relaxed structure of La5TbY6.

Values from the calculation:
As for the space group: C2/m, No. 12. The value obtained for the size of the total moment is 0.0 Bohr magnetons per cell. The calculation puts the formation enthalpy at 0 K at 9 meV per atom.

```
12
Lattice="6.1476 0.0000 1.4939 3.0738 5.4790 0.7469 -0.7301 0.0000 11.9168" Properties=species:S:1:pos:R:3 pbc="T T T"
Y 4.4365 1.8206 4.0858
Y 0.9809 1.8206 9.3249
Y 4.0659 0.0000 10.0709
Y 1.3515 0.0000 3.3398
Y 7.5103 3.6584 4.8327
Y 4.0547 3.6584 10.0718
Tb 0.0000 0.0000 0.0000
La 2.7087 3.6516 6.7053
La 3.0738 1.8232 0.7469
La 2.7087 0.0000 6.7053
La 6.1476 3.6558 1.4939
La 5.7825 1.8274 7.4523
```

8.
A plane-wave DFT calculation with PBE-GGA was carried out for a relaxed structure of LaTb5Y.

Values from the calculation:
As for the space group: Immm, No. 71. The value obtained for the offset from the most stable computed form is 909 meV per atom. The value obtained for the size of the total moment is 0.0 Bohr magnetons per cell. The calculation puts the formation enthalpy at 0 K at 1093 meV per atom.

```
7
Lattice="-0.2280 4.4442 -3.7295 1.7001 -2.3025 -7.3674 -6.3380 -0.4751 -4.6983" Properties=species:S:1:pos:R:3 pbc="T T T"
La 0.0000 0.0000 0.0000
Tb -5.0060 1.4183 -7.0432
Tb 0.1401 0.2483 -8.7520
Tb -1.3351 2.6312 -5.8223
Tb -3.5308 -0.9646 -9.9729
Tb -2.3190 -1.3888 -6.0328
Y -2.4329 0.8333 -7.8976
```

no.,raw total energy (eV/atom),mass density (g cm⁻³)
1,-5.8593,5.13
2,-5.4504,5.72
3,-5.0757,5.29
4,-5.5588,5.39
5,-4.8212,5.49
6,-5.1187,6.30
7,-5.6619,5.65
8,-3.8416,5.68